Compound: La4SiNi
Source: Alexandria
Functional: PBE
Structure: optimized geometry

a b c (Å): 8.8491 8.8491 8.8491
angles (deg): 90.00 90.00 90.00
Closest atoms and distances in Å follow each position.
Space group F-43m (No. 216)
Unique sites:
La1 0.1240 0.1240 0.3760  6 La 3.10-3.15
Si1 0.2500 0.2500 0.7500  12 La 3.67, 4 Ni 3.83
Ni1 0.0000 0.0000 0.0000  12 La 3.67, 4 Si 3.83

Properties
Its total magnetic moment is 0.0 μB per formula unit. The value obtained for the formation energy from raw total energies is 0.5964 eV per atom. The calculation puts the total energy at -4.556 eV per atom. For the volume, the calculation gives 28.873 Å³/atom.